Below is crystalline KCdNi2Cl8 at its relaxed geometry, with properties calculated at the PBE-GGA level.

Geometry as CIF:
```
data_KCdNi2Cl8
_space_group_name_H-M_alt 'R -3'
_space_group_IT_number 148
_space_group_name_Hall '-R 3'
_cell_length_a 6.3885
_cell_length_b 6.3885
_cell_length_c 27.6768
_cell_angle_alpha 90.00
_cell_angle_beta 90.00
_cell_angle_gamma 120.00
loop_
_atom_site_label
_atom_site_fract_x
_atom_site_fract_y
_atom_site_fract_z
K1 0.0000 0.0000 0.0000
Cd1 0.0000 0.0000 0.5000
Ni1 0.0000 0.0000 0.2460
Cl1 0.0000 0.0000 0.3243
Cl2 0.0020 0.3308 0.8908
```

The total energy is -3.18 eV/atom. Its crystal system is trigonal.



Below is crystalline NaCe2Pb at its relaxed geometry, with properties calculated at the PBE-GGA level.

Geometry as CIF:
```
data_NaCe2Pb
_space_group_name_H-M_alt 'P 4/m m m'
_space_group_IT_number 123
_space_group_name_Hall '-P 4 2'
_cell_length_a 4.8390
_cell_length_b 4.8390
_cell_length_c 4.9241
_cell_angle_alpha 90.00
_cell_angle_beta 90.00
_cell_angle_gamma 90.00
loop_
_atom_site_label
_atom_site_fract_x
_atom_site_fract_y
_atom_site_fract_z
Na1 0.0000 0.0000 0.0000
Ce1 0.0000 0.5000 0.5000
Pb1 0.5000 0.5000 0.0000
```

The total energy is -4.28 eV/atom. Its crystal system is tetragonal. As for the energy of formation from the pure elements: -0.059 eV per atom.



Below is crystalline Rb2CoSCl6 at its relaxed geometry, with properties calculated at the PBE-GGA level.

Geometry as CIF:
```
data_Rb2CoSCl6
_space_group_name_H-M_alt 'I 4/m m m'
_space_group_IT_number 139
_space_group_name_Hall '-I 4 2'
_cell_length_a 7.5158
_cell_length_b 7.5158
_cell_length_c 9.8726
_cell_angle_alpha 90.00
_cell_angle_beta 90.00
_cell_angle_gamma 90.00
loop_
_atom_site_label
_atom_site_fract_x
_atom_site_fract_y
_atom_site_fract_z
Rb1 0.0000 0.5000 0.2500
Co1 0.0000 0.0000 0.0000
S1 0.0000 0.0000 0.5000
Cl1 0.0000 0.0000 0.2698
Cl2 0.2117 0.2117 0.0000
```

The total energy is -3.29 eV/atom. Its crystal system is tetragonal.



Below is crystalline KMg2Ag at its relaxed geometry, with properties calculated at the PBE-GGA level.

Geometry as CIF:
```
data_KMg2Ag
_space_group_name_H-M_alt 'F m -3 m'
_space_group_IT_number 225
_space_group_name_Hall '-F 4 2 3'
_cell_length_a 7.4606
_cell_length_b 7.4606
_cell_length_c 7.4606
_cell_angle_alpha 90.00
_cell_angle_beta 90.00
_cell_angle_gamma 90.00
loop_
_atom_site_label
_atom_site_fract_x
_atom_site_fract_y
_atom_site_fract_z
K1 0.0000 0.0000 0.0000
Mg1 0.2500 0.2500 0.2500
Ag1 0.0000 0.0000 0.5000
```

The total energy is -1.58 eV/atom. For the offset from the most stable computed form, the calculation gives 152 meV per atom. Its crystal system is cubic. As for the energy of formation from the pure elements: 0.200 eV per atom.



Below is crystalline Fe2SbAs2 at its relaxed geometry, with properties calculated at the PBE-GGA level.

Geometry as CIF:
```
data_Fe2SbAs2
_space_group_name_H-M_alt 'I 4/m m m'
_space_group_IT_number 139
_space_group_name_Hall '-I 4 2'
_cell_length_a 3.8304
_cell_length_b 3.8304
_cell_length_c 11.4416
_cell_angle_alpha 90.00
_cell_angle_beta 90.00
_cell_angle_gamma 90.00
loop_
_atom_site_label
_atom_site_fract_x
_atom_site_fract_y
_atom_site_fract_z
Fe1 0.0000 0.0000 0.1126
Sb1 0.0000 0.0000 0.5000
As1 0.0000 0.5000 0.2500
```

The total energy is -5.86 eV/atom. Its crystal system is tetragonal.



Below is crystalline YZrTlH2 at its relaxed geometry, with properties calculated at the PBE-GGA level.

Geometry as CIF:
```
data_YZrTlH2
_space_group_name_H-M_alt 'P 4/m m m'
_space_group_IT_number 123
_space_group_name_Hall '-P 4 2'
_cell_length_a 4.2612
_cell_length_b 4.2612
_cell_length_c 5.9041
_cell_angle_alpha 90.00
_cell_angle_beta 90.00
_cell_angle_gamma 90.00
loop_
_atom_site_label
_atom_site_fract_x
_atom_site_fract_y
_atom_site_fract_z
Y1 0.0000 0.0000 0.0000
Zr1 0.5000 0.5000 0.0000
Tl1 0.5000 0.5000 0.5000
H1 0.0000 0.5000 0.5000
```

The total energy is -3.92 eV/atom. Its crystal system is tetragonal.



Below is crystalline Ba2MgCdPd at its relaxed geometry, with properties calculated at the PBE-GGA level.

Geometry as CIF:
```
data_Ba2MgCdPd
_space_group_name_H-M_alt 'P 4/m m m'
_space_group_IT_number 123
_space_group_name_Hall '-P 4 2'
_cell_length_a 6.1570
_cell_length_b 6.1570
_cell_length_c 5.1417
_cell_angle_alpha 90.00
_cell_angle_beta 90.00
_cell_angle_gamma 90.00
loop_
_atom_site_label
_atom_site_fract_x
_atom_site_fract_y
_atom_site_fract_z
Ba1 0.0000 0.5000 0.0000
Mg1 0.0000 0.0000 0.5000
Cd1 0.5000 0.5000 0.5000
Pd1 0.0000 0.0000 0.0000
```

The total energy is -2.60 eV/atom. For the offset from the most stable computed form, the calculation gives 0 meV per atom. Its crystal system is tetragonal. As for the energy of formation from the pure elements: -0.295 eV per atom.



Below is crystalline PaTaVC3 at its relaxed geometry, with properties calculated at the PBE-GGA level.

Geometry as CIF:
```
data_PaTaVC3
_space_group_name_H-M_alt 'P 1 21/m 1'
_space_group_IT_number 11
_space_group_name_Hall '-P 2yb'
_cell_length_a 6.8447
_cell_length_b 3.2398
_cell_length_c 7.6378
_cell_angle_alpha 90.00
_cell_angle_beta 102.93
_cell_angle_gamma 90.00
loop_
_atom_site_label
_atom_site_fract_x
_atom_site_fract_y
_atom_site_fract_z
Pa1 0.1784 0.2500 0.1988
Ta1 0.3503 0.7500 0.8682
V1 0.1207 0.2500 0.5970
C1 0.1161 0.2500 0.8632
C2 0.1917 0.7500 0.4776
C3 0.4361 0.7500 0.1579
```

The total energy is -9.92 eV/atom. Its crystal system is monoclinic. As for the energy of formation from the pure elements: -0.227 eV per atom.